Run w
{"formula": "Ti3ZnPd4", "functional": "GGA-PBE", "state": "relaxed", "dos_at_fermi_per_ev_cell": 17.5, "total_magnetization_mub_per_atom": 0.183, "cell": [[-2.5571, -2.3664, 3.2604], [2.5435, -4.7822, -1.4759], [6.5949, 1.5616, 6.3057]], "species": ["Ti", "Ti", "Ti", "Ti", "Ti", "Ti", "Pd", "Pd", "Pd", "Pd", "Pd", "Pd", "Pd", "Pd", "Zn", "Zn"], "fractional_positions": [[0.8398, 0.9050, 0.0000], [0.0229, 0.6462, 0.7373], [0.5229, 0.3538, 0.2373], [0.5229, 0.3538, 0.7627], [0.0229, 0.6462, 0.2627], [0.3398, 0.0950, 0.5000], [0.0195, 0.1425, 0.2446], [0.0195, 0.1425, 0.7554], [0.8571, 0.8752, 0.5000], [0.5195, 0.8575, 0.7446], [0.5195, 0.8575, 0.2554], [0.8589, 0.3715, 0.5000], [0.3571, 0.1248, 0.0000], [0.3589, 0.6285, 0.0000], [0.8746, 0.4033, 0.0000], [0.3746, 0.5967, 0.5000]]}

=====

Run x
{"formula": "Ti3ZnPd4", "functional": "GGA-PBE", "state": "relaxed", "dos_at_fermi_per_ev_cell": 14.2, "total_magnetization_mub_per_atom": 0.175, "cell": [[4.7567, 0.0000, 0.0000], [0.0000, 5.6497, 0.0000], [0.0000, 0.0000, 9.1618]], "species": ["Pd", "Pd", "Pd", "Pd", "Pd", "Pd", "Pd", "Pd", "Ti", "Ti", "Ti", "Ti", "Ti", "Ti", "Zn", "Zn"], "fractional_positions": [[0.8778, 0.2506, 0.2500], [0.1222, 0.7494, 0.7500], [0.1222, 0.2506, 0.7500], [0.8778, 0.7494, 0.2500], [0.5000, 0.7492, 0.0000], [0.5000, 0.2508, 0.0000], [0.5000, 0.7492, 0.5000], [0.5000, 0.2508, 0.5000], [0.0000, 0.0000, 0.0000], [0.0000, 0.0000, 0.5000], [0.6262, 0.5000, 0.7500], [0.3903, 0.0000, 0.2500], [0.3738, 0.5000, 0.2500], [0.6097, 0.0000, 0.7500], [0.0000, 0.5000, 0.0000], [0.0000, 0.5000, 0.5000]]}

=====

It is run x that is most stable; the runner-up trails by 49 meV per atom.

=====

Run w
{"formula": "Ti2ZnPd8", "functional": "GGA-PBE", "state": "relaxed", "dos_at_fermi_per_ev_cell": 6.0, "total_magnetization_mub_per_atom": 0.000, "cell": [[3.9745, 0.0000, 0.0000], [0.0000, 6.2834, 0.3551], [-1.9873, -2.2998, 6.6090]], "species": ["Pd", "Pd", "Pd", "Pd", "Pd", "Pd", "Pd", "Pd", "Ti", "Ti", "Zn"], "fractional_positions": [[0.0419, 0.7330, 0.0839], [0.5997, 0.4615, 0.1994], [0.1496, 0.2083, 0.2992], [0.4003, 0.5385, 0.8006], [0.8504, 0.7917, 0.7008], [0.3228, 0.0818, 0.6456], [0.9581, 0.2670, 0.9161], [0.6772, 0.9182, 0.3544], [0.2187, 0.6643, 0.4374], [0.7813, 0.3357, 0.5626], [0.5000, 0.0000, 0.0000]]}

=====

Run x
{"formula": "Ti2ZnPd8", "functional": "GGA-PBE", "state": "relaxed", "dos_at_fermi_per_ev_cell": 5.9, "total_magnetization_mub_per_atom": 0.000, "cell": [[4.0284, 0.0000, -1.2232], [-0.8970, 6.6421, -2.9540], [-0.0970, -0.9715, 6.9255]], "species": ["Pd", "Pd", "Pd", "Pd", "Pd", "Pd", "Pd", "Pd", "Zn", "Ti", "Ti"], "fractional_positions": [[0.3427, 0.5597, 0.6853], [0.0000, 0.6838, 0.0000], [0.0000, 0.3162, 0.0000], [0.3427, 0.1256, 0.6853], [0.8601, 0.8601, 0.7203], [0.6573, 0.4403, 0.3147], [0.1399, 0.1399, 0.2797], [0.6573, 0.8744, 0.3147], [0.5000, 0.0000, 0.0000], [0.7987, 0.2987, 0.5975], [0.2013, 0.7013, 0.4025]]}

=====

It is run w that is most stable; the runner-up trails by 36 meV per atom.

=====

Run w
{"formula": "Ti5Zn2Pd", "functional": "GGA-PBE", "state": "relaxed", "dos_at_fermi_per_ev_cell": 15.1, "total_magnetization_mub_per_atom": 0.022, "cell": [[-1.1465, -6.3329, -3.2561], [-1.6169, -2.9804, 6.3660], [-3.4495, 5.8701, -2.2139]], "species": ["Zn", "Zn", "Zn", "Zn", "Ti", "Ti", "Ti", "Ti", "Ti", "Ti", "Ti", "Ti", "Ti", "Ti", "Pd", "Pd"], "fractional_positions": [[0.8519, 0.6481, 0.0000], [0.6481, 0.1481, 0.0000], [0.1481, 0.3519, 0.0000], [0.3519, 0.8519, 0.0000], [0.4928, 0.6955, 0.6883], [0.0000, 0.0000, 0.0000], [0.9928, 0.4928, 0.6883], [0.6955, 0.1955, 0.6883], [0.8045, 0.0072, 0.3117], [0.3045, 0.8045, 0.3117], [0.5000, 0.5000, 0.0000], [0.5072, 0.3045, 0.3117], [0.1955, 0.9928, 0.6883], [0.0072, 0.5072, 0.3117], [0.2500, 0.2500, 0.5000], [0.7500, 0.7500, 0.5000]]}

=====

Run x
{"formula": "Ti5Zn2Pd", "functional": "GGA-PBE", "state": "relaxed", "dos_at_fermi_per_ev_cell": 9.7, "total_magnetization_mub_per_atom": 0.000, "cell": [[-3.6763, -1.1971, 0.4107], [1.2370, -3.1324, 1.9429], [0.6405, 6.4276, 6.0646]], "species": ["Ti", "Ti", "Ti", "Ti", "Ti", "Zn", "Zn", "Pd"], "fractional_positions": [[0.6291, 0.1291, 0.2583], [0.5000, 0.5000, 0.0000], [0.3709, 0.8709, 0.7417], [0.1291, 0.6291, 0.2583], [0.8709, 0.3709, 0.7417], [0.2482, 0.2482, 0.4965], [0.7518, 0.7518, 0.5035], [0.0000, 0.0000, 0.0000]]}

=====

It is run x that is most stable; the runner-up trails by 68 meV per atom.

=====

Run w
{"formula": "TiZn2Pd8", "functional": "GGA-PBE", "state": "relaxed", "dos_at_fermi_per_ev_cell": 6.9, "total_magnetization_mub_per_atom": 0.000, "cell": [[3.9092, 0.0000, -1.1897], [-1.0263, 5.9373, -3.3721], [0.0660, 0.1050, 7.2341]], "species": ["Zn", "Zn", "Pd", "Pd", "Pd", "Pd", "Pd", "Pd", "Pd", "Pd", "Ti"], "fractional_positions": [[0.8109, 0.3109, 0.6219], [0.1891, 0.6891, 0.3781], [0.0000, 0.7008, 0.0000], [0.1464, 0.1464, 0.2929], [0.8536, 0.8536, 0.7071], [0.6599, 0.8846, 0.3199], [0.6599, 0.4353, 0.3199], [0.0000, 0.2992, 0.0000], [0.3401, 0.1154, 0.6801], [0.3401, 0.5647, 0.6801], [0.5000, 0.0000, 0.0000]]}

=====

Run x
{"formula": "TiZn2Pd8", "functional": "GGA-PBE", "state": "relaxed", "dos_at_fermi_per_ev_cell": 6.4, "total_magnetization_mub_per_atom": 0.000, "cell": [[4.0276, 0.0000, 0.0000], [0.0000, 6.1892, 0.2728], [-2.0138, -2.3520, 6.5424]], "species": ["Pd", "Pd", "Pd", "Pd", "Pd", "Pd", "Pd", "Pd", "Ti", "Zn", "Zn"], "fractional_positions": [[0.5971, 0.4562, 0.1942], [0.6793, 0.9220, 0.3585], [0.1405, 0.1917, 0.2810], [0.8595, 0.8083, 0.7190], [0.9571, 0.2691, 0.9142], [0.4029, 0.5438, 0.8058], [0.3207, 0.0780, 0.6415], [0.0429, 0.7309, 0.0858], [0.5000, 0.0000, 0.0000], [0.2224, 0.6463, 0.4447], [0.7776, 0.3537, 0.5553]]}

=====

It is run x that is most stable; the runner-up trails by 22 meV per atom.

=====

Run w
{"formula": "TiZnPd6", "functional": "GGA-PBE", "state": "relaxed", "dos_at_fermi_per_ev_cell": 6.8, "total_magnetization_mub_per_atom": 0.000, "cell": [[-2.7057, -1.0950, -2.5743], [3.0286, -4.4894, -1.2734], [-2.6089, -2.8920, 3.9722]], "species": ["Pd", "Pd", "Pd", "Pd", "Pd", "Pd", "Zn", "Ti"], "fractional_positions": [[0.0000, 0.7529, 0.7529], [0.0000, 0.2481, 0.7519], [0.5000, 0.0000, 0.5000], [0.5000, 0.5000, 0.0000], [0.0000, 0.7519, 0.2481], [0.0000, 0.2471, 0.2471], [0.5000, 0.5000, 0.5000], [0.5000, 0.0000, 0.0000]]}

=====

Run x
{"formula": "TiZnPd6", "functional": "GGA-PBE", "state": "relaxed", "dos_at_fermi_per_ev_cell": 5.7, "total_magnetization_mub_per_atom": 0.000, "cell": [[6.8849, 0.2601, -0.1425], [3.6547, 6.3458, 0.0115], [3.4280, 2.2678, 2.9165]], "species": ["Pd", "Pd", "Pd", "Pd", "Pd", "Pd", "Ti", "Zn"], "fractional_positions": [[0.4517, 0.2491, 0.3533], [0.9485, 0.4544, 0.8462], [0.0515, 0.5456, 0.1538], [0.7509, 0.9486, 0.7535], [0.5483, 0.7509, 0.6467], [0.2491, 0.0514, 0.2465], [0.5000, 0.5000, 0.5000], [0.0000, 0.0000, 0.0000]]}

=====

It is run w that is most stable; the runner-up trails by 173 meV per atom.

=====

Run w
{"formula": "Ti2ZnPd3", "functional": "GGA-PBE", "state": "relaxed", "dos_at_fermi_per_ev_cell": 9.5, "total_magnetization_mub_per_atom": 0.000, "cell": [[5.2761, 0.0000, 0.0000], [0.0000, 5.5047, -0.0005], [-2.6381, -1.3797, 6.4706]], "species": ["Ti", "Ti", "Ti", "Ti", "Pd", "Pd", "Pd", "Pd", "Pd", "Pd", "Zn", "Zn"], "fractional_positions": [[0.3312, 0.9171, 0.6672], [0.3360, 0.4171, 0.6672], [0.6640, 0.5829, 0.3328], [0.6688, 0.0829, 0.3328], [0.1580, 0.0791, 0.3122], [0.1542, 0.5791, 0.3122], [0.2913, 0.7500, 0.0000], [0.8420, 0.9209, 0.6878], [0.7087, 0.2500, 0.0000], [0.8458, 0.4209, 0.6878], [0.2174, 0.2500, 0.0000], [0.7826, 0.7500, 0.0000]]}

=====

Run x
{"formula": "Ti2ZnPd3", "functional": "GGA-PBE", "state": "relaxed", "dos_at_fermi_per_ev_cell": 12.8, "total_magnetization_mub_per_atom": 0.000, "cell": [[-4.0617, -0.1835, -1.7861], [0.5824, -0.9646, 4.2955], [-1.5999, 10.4524, 2.5642]], "species": ["Pd", "Pd", "Pd", "Pd", "Pd", "Pd", "Ti", "Ti", "Ti", "Ti", "Zn", "Zn"], "fractional_positions": [[0.6667, 0.3333, 0.5776], [0.0000, 0.0000, 0.2489], [0.6667, 0.3333, 0.0688], [0.3333, 0.6667, 0.9312], [0.0000, 0.0000, 0.7511], [0.3333, 0.6667, 0.4224], [0.6667, 0.3333, 0.8214], [0.3333, 0.6667, 0.1786], [0.0000, 0.0000, 0.5000], [0.0000, 0.0000, 0.0000], [0.3333, 0.6667, 0.6696], [0.6667, 0.3333, 0.3304]]}

=====

It is run x that is most stable; the runner-up trails by 106 meV per atom.

=====

Run w
{"formula": "ZrTi2Pd2", "functional": "GGA-PBE", "state": "relaxed", "dos_at_fermi_per_ev_cell": 4.9, "total_magnetization_mub_per_atom": 0.000, "cell": [[-0.9592, 3.4789, 2.2337], [-0.7040, -2.3970, 3.4309], [4.2020, 1.0413, 4.2147]], "species": ["Pd", "Pd", "Ti", "Ti", "Zr"], "fractional_positions": [[0.6197, 0.6197, 0.7606], [0.3803, 0.3803, 0.2394], [0.2500, 0.7500, 0.5000], [0.7500, 0.2500, 0.5000], [0.0000, 0.0000, 0.0000]]}

=====

Run x
{"formula": "ZrTi2Pd2", "functional": "GGA-PBE", "state": "relaxed", "dos_at_fermi_per_ev_cell": 4.2, "total_magnetization_mub_per_atom": 0.000, "cell": [[-3.0957, -3.5809, -5.9439], [-5.3405, -2.9264, 4.5444], [-1.7684, 2.4063, -0.5287]], "species": ["Pd", "Pd", "Pd", "Pd", "Ti", "Ti", "Ti", "Ti", "Zr", "Zr"], "fractional_positions": [[0.3707, 0.8707, 0.0000], [0.8707, 0.6293, 0.0000], [0.1293, 0.3707, 0.0000], [0.6293, 0.1293, 0.0000], [0.6672, 0.8328, 0.5000], [0.8328, 0.3328, 0.5000], [0.3328, 0.1672, 0.5000], [0.1672, 0.6672, 0.5000], [0.5000, 0.5000, 0.0000], [0.0000, 0.0000, 0.0000]]}

=====

It is run x that is most stable; the runner-up trails by 152 meV per atom.

=====

Run w
{"formula": "Zr2TiPd2", "functional": "GGA-PBE", "state": "relaxed", "dos_at_fermi_per_ev_cell": 12.7, "total_magnetization_mub_per_atom": 0.079, "cell": [[7.5749, 0.0000, 0.0000], [0.0000, 7.5749, 0.0000], [0.0000, 0.0000, 3.3499]], "species": ["Pd", "Pd", "Pd", "Pd", "Zr", "Zr", "Zr", "Zr", "Ti", "Ti"], "fractional_positions": [[0.6283, 0.1283, 0.0000], [0.3717, 0.8717, 0.0000], [0.8717, 0.6283, 0.0000], [0.1283, 0.3717, 0.0000], [0.1739, 0.6739, 0.5000], [0.8261, 0.3261, 0.5000], [0.6739, 0.8261, 0.5000], [0.3261, 0.1739, 0.5000], [0.5000, 0.5000, 0.0000], [0.0000, 0.0000, 0.0000]]}

=====

Run x
{"formula": "Zr2TiPd2", "functional": "GGA-PBE", "state": "relaxed", "dos_at_fermi_per_ev_cell": 6.4, "total_magnetization_mub_per_atom": 0.383, "cell": [[-0.0203, -4.6960, -6.2432], [5.4425, -4.4873, 3.3575], [-2.2853, -1.7700, 1.3388]], "species": ["Ti", "Ti", "Zr", "Zr", "Zr", "Zr", "Pd", "Pd", "Pd", "Pd"], "fractional_positions": [[0.0000, 0.0000, 0.0000], [0.5000, 0.5000, 0.0000], [0.1607, 0.3393, 0.0000], [0.8393, 0.6607, 0.0000], [0.3393, 0.8393, 0.0000], [0.6607, 0.1607, 0.0000], [0.1367, 0.6367, 0.5000], [0.6367, 0.8633, 0.5000], [0.8633, 0.3633, 0.5000], [0.3633, 0.1367, 0.5000]]}

=====

It is run w that is most stable; the runner-up trails by 122 meV per atom.

=====

Run w
{"formula": "ZrTi3Pd6", "functional": "GGA-PBE", "state": "relaxed", "dos_at_fermi_per_ev_cell": 17.5, "total_magnetization_mub_per_atom": 0.046, "cell": [[2.9276, 0.0000, 0.0000], [0.0000, 10.2950, 0.5037], [0.0000, -2.9582, 10.8124]], "species": ["Pd", "Pd", "Pd", "Pd", "Pd", "Pd", "Pd", "Pd", "Pd", "Pd", "Pd", "Pd", "Ti", "Ti", "Ti", "Ti", "Ti", "Ti", "Zr", "Zr"], "fractional_positions": [[0.2500, 0.4977, 0.3328], [0.7500, 0.5023, 0.6672], [0.2500, 0.2755, 0.6981], [0.7500, 0.7245, 0.3019], [0.7500, 0.1251, 0.4841], [0.2500, 0.2213, 0.2654], [0.7500, 0.7787, 0.7346], [0.7500, 0.3761, 0.1139], [0.7500, 0.8085, 0.0793], [0.2500, 0.1915, 0.9207], [0.2500, 0.8749, 0.5159], [0.2500, 0.6239, 0.8861], [0.7500, 0.4054, 0.8894], [0.7500, 0.6464, 0.5092], [0.7500, 0.0956, 0.0806], [0.2500, 0.9044, 0.9194], [0.2500, 0.3536, 0.4908], [0.2500, 0.5946, 0.1106], [0.7500, 0.0425, 0.7154], [0.2500, 0.9575, 0.2846]]}

=====

Run x
{"formula": "ZrTi3Pd6", "functional": "GGA-PBE", "state": "relaxed", "dos_at_fermi_per_ev_cell": 18.5, "total_magnetization_mub_per_atom": 0.148, "cell": [[-0.1814, 3.8396, -1.1305], [-7.4102, -1.6824, -4.5247], [-4.7347, 1.9848, 7.5005]], "species": ["Zr", "Zr", "Pd", "Pd", "Pd", "Pd", "Pd", "Pd", "Pd", "Pd", "Pd", "Pd", "Pd", "Pd", "Ti", "Ti", "Ti", "Ti", "Ti", "Ti"], "fractional_positions": [[0.2500, 0.9380, 0.6229], [0.7500, 0.0620, 0.3771], [0.7500, 0.8395, 0.8032], [0.2500, 0.0590, 0.9064], [0.2500, 0.2520, 0.5053], [0.2500, 0.4602, 0.0979], [0.2500, 0.1605, 0.1968], [0.7500, 0.5398, 0.9021], [0.2500, 0.8464, 0.2948], [0.7500, 0.3679, 0.3025], [0.7500, 0.9410, 0.0936], [0.7500, 0.7480, 0.4947], [0.7500, 0.1536, 0.7052], [0.2500, 0.6321, 0.6975], [0.7500, 0.2492, 0.0131], [0.7500, 0.6538, 0.1985], [0.2500, 0.7508, 0.9869], [0.7500, 0.4471, 0.6027], [0.2500, 0.3462, 0.8015], [0.2500, 0.5529, 0.3973]]}

=====

It is run x that is most stable; the runner-up trails by 109 meV per atom.

=====

Run w
{"formula": "Zr2Ti2Pd", "functional": "GGA-PBE", "state": "relaxed", "dos_at_fermi_per_ev_cell": 11.2, "total_magnetization_mub_per_atom": 0.000, "cell": [[6.6829, 0.0000, 0.0000], [0.0000, 6.6829, 0.0000], [0.0000, 0.0000, 4.3947]], "species": ["Pd", "Pd", "Zr", "Zr", "Zr", "Zr", "Ti", "Ti", "Ti", "Ti"], "fractional_positions": [[0.5000, 0.5000, 0.0000], [0.0000, 0.0000, 0.0000], [0.8398, 0.3398, 0.5000], [0.1602, 0.6602, 0.5000], [0.6602, 0.8398, 0.5000], [0.3398, 0.1602, 0.5000], [0.8570, 0.6430, 0.0000], [0.6430, 0.1430, 0.0000], [0.3570, 0.8570, 0.0000], [0.1430, 0.3570, 0.0000]]}

=====

Run x
{"formula": "Zr2Ti2Pd", "functional": "GGA-PBE", "state": "relaxed", "dos_at_fermi_per_ev_cell": 10.6, "total_magnetization_mub_per_atom": 0.000, "cell": [[4.8168, 0.0000, -1.9594], [-1.0659, 5.0419, -2.6203], [0.2694, 0.6725, 7.5621]], "species": ["Ti", "Ti", "Ti", "Ti", "Zr", "Zr", "Zr", "Zr", "Pd", "Pd"], "fractional_positions": [[0.8073, 0.4362, 0.6147], [0.6927, 0.8215, 0.3853], [0.3073, 0.1785, 0.6147], [0.1927, 0.5638, 0.3853], [0.4070, 0.7643, 0.8139], [0.9070, 0.0496, 0.8139], [0.0930, 0.9504, 0.1861], [0.5930, 0.2357, 0.1861], [0.2500, 0.5000, 0.0000], [0.7500, 0.5000, 0.0000]]}

=====

It is run w that is most stable; the runner-up trails by 49 meV per atom.